A crystal of KCuSe3 relaxed with PBEsol. Source: Alexandria, functional SCAN.

Magnetic moment: 0.00 Bohr magnetons per cell
Energy relative to the lowest polymorph listed for this composition: 1.5774 eV/atom
Density of states at the Fermi level: 5.4 states/eV/cell
Formation energy without anion corrections: 1.3748 eV/atom
Symmetry: Pm-3m (221)
E_tot: -15.378 eV/atom

Cell and atoms, written as extended XYZ:
```
5
Lattice="5.4276 0.0000 0.0000 0.0000 5.4276 0.0000 0.0000 0.0000 5.4276" Properties=species:S:1:pos:R:3 pbc="T T T"
K 0.0000 0.0000 0.0000
Cu 2.7138 2.7138 2.7138
Se 0.0000 0.0000 2.7138
Se 0.0000 2.7138 0.0000
Se 2.7138 0.0000 0.0000
```